[1]
This record from the Alexandria database describes NiAg4P after structural relaxation. The functional is GGA-PBE.

energy relative to the elements: 0.6230 eV/atom
D(E_F): 5.03 states/eV/cell
E: -3.143 eV per atom
space group: F-43m

Cell and atoms, written as CIF:
```
data_NiAg4P
_symmetry_space_group_name_H-M 'P 1'
_symmetry_Int_Tables_number 1
_cell_length_a 5.3763
_cell_length_b 5.3763
_cell_length_c 5.3763
_cell_angle_alpha 60.00
_cell_angle_beta 60.00
_cell_angle_gamma 60.00
loop_
_symmetry_equiv_pos_as_xyz
'x,y,z'
loop_
_atom_site_label
_atom_site_type_symbol
_atom_site_fract_x
_atom_site_fract_y
_atom_site_fract_z
_atom_site_occupancy
Ni1 Ni 0.0000 0.0000 0.0000 1
Ag1 Ag 0.3748 0.3748 0.3748 1
Ag2 Ag 0.3748 0.3748 0.8757 1
Ag3 Ag 0.3748 0.8757 0.3748 1
Ag4 Ag 0.8757 0.3748 0.3748 1
P1 P 0.7500 0.7500 0.7500 1
```

[2]
This record from the Alexandria database describes Ni3AgP after structural relaxation. The functional is GGA-PBE.

energy relative to the elements: 1.6110 eV/atom
D(E_F): 8.47 states/eV/cell
E: -3.510 eV per atom
space group: Pm-3m

Cell and atoms, written as CIF:
```
data_Ni3AgP
_symmetry_space_group_name_H-M 'P 1'
_symmetry_Int_Tables_number 1
_cell_length_a 4.5759
_cell_length_b 4.5759
_cell_length_c 4.5759
_cell_angle_alpha 90.00
_cell_angle_beta 90.00
_cell_angle_gamma 90.00
loop_
_symmetry_equiv_pos_as_xyz
'x,y,z'
loop_
_atom_site_label
_atom_site_type_symbol
_atom_site_fract_x
_atom_site_fract_y
_atom_site_fract_z
_atom_site_occupancy
Ni1 Ni 0.0000 0.0000 0.5000 1
Ni2 Ni 0.0000 0.5000 0.0000 1
Ni3 Ni 0.5000 0.0000 0.0000 1
Ag1 Ag 0.0000 0.0000 0.0000 1
P1 P 0.5000 0.5000 0.5000 1
```

[3]
This record from the Alexandria database describes NiAg2P2 after structural relaxation. The functional is GGA-PBE.

energy relative to the elements: -0.0670 eV/atom
D(E_F): 4.90 states/eV/cell
E: -4.528 eV per atom
space group: P4/mbm

Cell and atoms, written as CIF:
```
data_NiAg2P2
_symmetry_space_group_name_H-M 'P 1'
_symmetry_Int_Tables_number 1
_cell_length_a 5.7172
_cell_length_b 5.7172
_cell_length_c 4.9862
_cell_angle_alpha 90.00
_cell_angle_beta 90.00
_cell_angle_gamma 90.00
loop_
_symmetry_equiv_pos_as_xyz
'x,y,z'
loop_
_atom_site_label
_atom_site_type_symbol
_atom_site_fract_x
_atom_site_fract_y
_atom_site_fract_z
_atom_site_occupancy
Ni1 Ni 0.0000 0.0000 0.0000 1
Ni2 Ni 0.5000 0.5000 0.0000 1
Ag1 Ag 0.1874 0.3126 0.5000 1
Ag2 Ag 0.3126 0.8126 0.5000 1
Ag3 Ag 0.6874 0.1874 0.5000 1
Ag4 Ag 0.8126 0.6874 0.5000 1
P1 P 0.1383 0.3617 0.0000 1
P2 P 0.3617 0.8617 0.0000 1
P3 P 0.6383 0.1383 0.0000 1
P4 P 0.8617 0.6383 0.0000 1
```

[4]
This record from the Alexandria database describes Ni2AgP after structural relaxation. The functional is GGA-PBE.

energy relative to the elements: 0.1833 eV/atom
D(E_F): 7.85 states/eV/cell
E: -4.773 eV per atom
space group: I-4m2

Cell and atoms, written as CIF:
```
data_Ni2AgP
_symmetry_space_group_name_H-M 'P 1'
_symmetry_Int_Tables_number 1
_cell_length_a 3.6259
_cell_length_b 3.6259
_cell_length_c 7.8901
_cell_angle_alpha 90.00
_cell_angle_beta 90.00
_cell_angle_gamma 90.00
loop_
_symmetry_equiv_pos_as_xyz
'x,y,z'
loop_
_atom_site_label
_atom_site_type_symbol
_atom_site_fract_x
_atom_site_fract_y
_atom_site_fract_z
_atom_site_occupancy
Ni1 Ni 0.0000 0.0000 0.0000 1
Ni2 Ni 0.0000 0.5000 0.2500 1
Ni3 Ni 0.5000 0.0000 0.7500 1
Ni4 Ni 0.5000 0.5000 0.5000 1
Ag1 Ag 0.0000 0.0000 0.5000 1
Ag2 Ag 0.5000 0.5000 0.0000 1
P1 P 0.0000 0.5000 0.7500 1
P2 P 0.5000 0.0000 0.2500 1
```

[5]
This record from the Alexandria database describes Ni2AgP after structural relaxation. The functional is GGA-PBE.

energy relative to the elements: 0.1376 eV/atom
D(E_F): 8.99 states/eV/cell
E: -4.818 eV per atom
space group: R3m

Cell and atoms, written as CIF:
```
data_Ni2AgP
_symmetry_space_group_name_H-M 'P 1'
_symmetry_Int_Tables_number 1
_cell_length_a 2.8003
_cell_length_b 2.8003
_cell_length_c 24.2786
_cell_angle_alpha 90.00
_cell_angle_beta 90.00
_cell_angle_gamma 120.00
loop_
_symmetry_equiv_pos_as_xyz
'x,y,z'
loop_
_atom_site_label
_atom_site_type_symbol
_atom_site_fract_x
_atom_site_fract_y
_atom_site_fract_z
_atom_site_occupancy
Ni1 Ni 0.0000 0.0000 0.0000 1
Ni2 Ni 0.0000 0.0000 0.2539 1
Ni3 Ni 0.3333 0.6667 0.6667 1
Ni4 Ni 0.3333 0.6667 0.9206 1
Ni5 Ni 0.6667 0.3333 0.3333 1
Ni6 Ni 0.6667 0.3333 0.5872 1
Ag1 Ag 0.0000 0.0000 0.7568 1
Ag2 Ag 0.3333 0.6667 0.4235 1
Ag3 Ag 0.6667 0.3333 0.0901 1
P1 P 0.0000 0.0000 0.5251 1
P2 P 0.3333 0.6667 0.1918 1
P3 P 0.6667 0.3333 0.8585 1
```

[6]
This record from the Alexandria database describes Ni2AgPPt after structural relaxation. The functional is GGA-PBE.

energy relative to the elements: 0.3169 eV/atom
D(E_F): 6.54 states/eV/cell
E: -4.856 eV per atom
space group: P4/mmm

Cell and atoms, written as CIF:
```
data_Ni2AgPPt
_symmetry_space_group_name_H-M 'P 1'
_symmetry_Int_Tables_number 1
_cell_length_a 4.1332
_cell_length_b 4.1332
_cell_length_c 4.6234
_cell_angle_alpha 90.00
_cell_angle_beta 90.00
_cell_angle_gamma 90.00
loop_
_symmetry_equiv_pos_as_xyz
'x,y,z'
loop_
_atom_site_label
_atom_site_type_symbol
_atom_site_fract_x
_atom_site_fract_y
_atom_site_fract_z
_atom_site_occupancy
Ni1 Ni 0.0000 0.5000 0.0000 1
Ni2 Ni 0.5000 0.0000 0.0000 1
Ag1 Ag 0.0000 0.0000 0.5000 1
P1 P 0.0000 0.0000 0.0000 1
Pt1 Pt 0.5000 0.5000 0.5000 1
```

[7]
This record from the Alexandria database describes NiAgPS2 after structural relaxation. The functional is GGA-PBE.

formation energy without anion corrections: 1.35 eV per atom
D(E_F): 6.59 states/eV/cell
E: -3.114 eV per atom
space group: P4/mmm

Cell and atoms, written as CIF:
```
data_NiAgPS2
_symmetry_space_group_name_H-M 'P 1'
_symmetry_Int_Tables_number 1
_cell_length_a 4.8515
_cell_length_b 4.8515
_cell_length_c 4.6807
_cell_angle_alpha 90.00
_cell_angle_beta 90.00
_cell_angle_gamma 90.00
loop_
_symmetry_equiv_pos_as_xyz
'x,y,z'
loop_
_atom_site_label
_atom_site_type_symbol
_atom_site_fract_x
_atom_site_fract_y
_atom_site_fract_z
_atom_site_occupancy
Ni1 Ni 0.0000 0.0000 0.0000 1
Ag1 Ag 0.5000 0.5000 0.5000 1
P1 P 0.5000 0.5000 0.0000 1
S1 S 0.0000 0.5000 0.5000 1
S2 S 0.5000 0.0000 0.5000 1
```

[8]
This record from the Alexandria database describes NiAgP2S after structural relaxation. The functional is GGA-PBE.

formation energy without anion corrections: 1.47 eV per atom
D(E_F): 5.88 states/eV/cell
E: -3.246 eV per atom
space group: P4/mmm

Cell and atoms, written as CIF:
```
data_NiAgP2S
_symmetry_space_group_name_H-M 'P 1'
_symmetry_Int_Tables_number 1
_cell_length_a 4.7462
_cell_length_b 4.7462
_cell_length_c 4.8381
_cell_angle_alpha 90.00
_cell_angle_beta 90.00
_cell_angle_gamma 90.00
loop_
_symmetry_equiv_pos_as_xyz
'x,y,z'
loop_
_atom_site_label
_atom_site_type_symbol
_atom_site_fract_x
_atom_site_fract_y
_atom_site_fract_z
_atom_site_occupancy
Ni1 Ni 0.0000 0.0000 0.0000 1
Ag1 Ag 0.5000 0.5000 0.5000 1
P1 P 0.0000 0.5000 0.5000 1
P2 P 0.5000 0.0000 0.5000 1
S1 S 0.5000 0.5000 0.0000 1
```

[9]
This record from the Alexandria database describes NiAgP2S after structural relaxation. The functional is GGA-PBE.

formation energy without anion corrections: 0.58 eV per atom
D(E_F): 3.22 states/eV/cell
E: -4.138 eV per atom
space group: P4/mmm

Cell and atoms, written as CIF:
```
data_NiAgP2S
_symmetry_space_group_name_H-M 'P 1'
_symmetry_Int_Tables_number 1
_cell_length_a 4.2986
_cell_length_b 4.2986
_cell_length_c 4.9321
_cell_angle_alpha 90.00
_cell_angle_beta 90.00
_cell_angle_gamma 90.00
loop_
_symmetry_equiv_pos_as_xyz
'x,y,z'
loop_
_atom_site_label
_atom_site_type_symbol
_atom_site_fract_x
_atom_site_fract_y
_atom_site_fract_z
_atom_site_occupancy
Ni1 Ni 0.0000 0.0000 0.0000 1
Ag1 Ag 0.5000 0.5000 0.5000 1
P1 P 0.0000 0.5000 0.0000 1
P2 P 0.5000 0.0000 0.0000 1
S1 S 0.0000 0.0000 0.5000 1
```

[10]
This record from the Alexandria database describes NiAgPS2 after structural relaxation. The functional is GGA-PBE.

formation energy without anion corrections: 0.51 eV per atom
D(E_F): 4.44 states/eV/cell
E: -3.948 eV per atom
space group: P4/mmm

Cell and atoms, written as CIF:
```
data_NiAgPS2
_symmetry_space_group_name_H-M 'P 1'
_symmetry_Int_Tables_number 1
_cell_length_a 4.7211
_cell_length_b 4.7211
_cell_length_c 4.1502
_cell_angle_alpha 90.00
_cell_angle_beta 90.00
_cell_angle_gamma 90.00
loop_
_symmetry_equiv_pos_as_xyz
'x,y,z'
loop_
_atom_site_label
_atom_site_type_symbol
_atom_site_fract_x
_atom_site_fract_y
_atom_site_fract_z
_atom_site_occupancy
Ni1 Ni 0.0000 0.0000 0.0000 1
Ag1 Ag 0.5000 0.5000 0.5000 1
P1 P 0.0000 0.0000 0.5000 1
S1 S 0.0000 0.5000 0.0000 1
S2 S 0.5000 0.0000 0.0000 1
```

[11]
This record from the Alexandria database describes SrNiAg2P after structural relaxation. The functional is GGA-PBE.

energy relative to the elements: -0.1832 eV/atom
D(E_F): 3.58 states/eV/cell
E: -3.898 eV per atom
space group: P4/mmm

Cell and atoms, written as CIF:
```
data_SrNiAg2P
_symmetry_space_group_name_H-M 'P 1'
_symmetry_Int_Tables_number 1
_cell_length_a 5.0051
_cell_length_b 5.0051
_cell_length_c 4.2824
_cell_angle_alpha 90.00
_cell_angle_beta 90.00
_cell_angle_gamma 90.00
loop_
_symmetry_equiv_pos_as_xyz
'x,y,z'
loop_
_atom_site_label
_atom_site_type_symbol
_atom_site_fract_x
_atom_site_fract_y
_atom_site_fract_z
_atom_site_occupancy
Sr1 Sr 0.0000 0.0000 0.0000 1
Ni1 Ni 0.5000 0.5000 0.5000 1
Ag1 Ag 0.0000 0.5000 0.5000 1
Ag2 Ag 0.5000 0.0000 0.5000 1
P1 P 0.5000 0.5000 0.0000 1
```

[12]
This record from the Alexandria database describes SrNiAgP after structural relaxation. The functional is GGA-PBE.

energy relative to the elements: -0.5854 eV/atom
D(E_F): 2.42 states/eV/cell
E: -4.516 eV per atom
space group: P4/nmm

Cell and atoms, written as CIF:
```
data_SrNiAgP
_symmetry_space_group_name_H-M 'P 1'
_symmetry_Int_Tables_number 1
_cell_length_a 3.9109
_cell_length_b 3.9109
_cell_length_c 10.9663
_cell_angle_alpha 90.00
_cell_angle_beta 90.00
_cell_angle_gamma 90.00
loop_
_symmetry_equiv_pos_as_xyz
'x,y,z'
loop_
_atom_site_label
_atom_site_type_symbol
_atom_site_fract_x
_atom_site_fract_y
_atom_site_fract_z
_atom_site_occupancy
Sr1 Sr 0.2500 0.2500 0.2407 1
Sr2 Sr 0.7500 0.7500 0.7593 1
Ni1 Ni 0.2500 0.7500 0.0000 1
Ni2 Ni 0.7500 0.2500 0.0000 1
Ag1 Ag 0.2500 0.7500 0.5000 1
Ag2 Ag 0.7500 0.2500 0.5000 1
P1 P 0.2500 0.2500 0.8941 1
P2 P 0.7500 0.7500 0.1059 1
```